Entry 1:
VASP calculation (GGA-PBE) on a relaxed PrZn12Ag4 crystal.

Values from the calculation:
For the total moment, the calculation gives 0.0 μB/f.u. For the formation energy, the calculation gives 0.17 eV per atom. For the energy, the calculation gives -1.679 eV/atom.

abc: 8.883 8.883 8.883
angles: 90.00 90.00 90.00
Space group Im-3 (No. 204)
Unique sites:
Pr (0.000, 0.000, 0.000) (multiplicity 2)
Zn (0.000, 0.146, 0.358) (multiplicity 24)
Ag (0.250, 0.250, 0.250) (multiplicity 8)

=====

Entry 2:
VASP calculation (GGA-PBE) on a relaxed Hg6TeH2 crystal.

Values from the calculation:
For the total moment, the calculation gives 0.0 μB/f.u. For the energy, the calculation gives -1.133 eV/atom.

abc: 17.491 8.220 7.123
angles: 90.00 104.77 90.00
Space group C2/c (No. 15)
Unique sites:
Hg (0.000, 0.174, 0.047) (multiplicity 8)
Hg (0.154, 0.360, 0.333) (multiplicity 8)
Hg (0.180, 0.004, 0.630) (multiplicity 8)
Te (0.000, 0.400, 0.750) (multiplicity 4)
H (0.178, 0.053, 0.880) (multiplicity 8)

=====

Entry 3:
VASP calculation (GGA-PBE) on a relaxed Ni2Mo2Pd7 crystal.

Values from the calculation:
For the total moment, the calculation gives 0.0 μB/f.u. For the formation energy, the calculation gives 0.18 eV per atom. For the energy, the calculation gives -6.142 eV/atom.

abc: 9.308 7.565 4.937
angles: 90.00 95.64 90.00
Space group C2/m (No. 12)
Unique sites:
Ni (0.209, 0.000, 0.227) (multiplicity 4)
Mo (0.000, 0.166, 0.000) (multiplicity 4)
Pd (0.000, 0.000, 0.500) (multiplicity 2)
Pd (0.034, 0.500, 0.754) (multiplicity 4)
Pd (0.248, 0.173, 0.746) (multiplicity 8)